No. 1
VASP calculation (PBE-GGA) on a relaxed structure of TlZnGa2Ni.

Calculated values
uncorrected energy: -3.138 eV per atom
density: 7.61 g/cm³
V: 20.43 Å³/atom
space group: P4/mmm, No. 123
ΔH_f (0 K): -0.04 eV per atom

Cell: 4.627 4.627 4.771 Å, 90.00 90.00 90.00°
Atoms (fractional coordinates):
Tl 0.000 0.000 0.000
Zn 0.500 0.500 0.000
Ga 0.000 0.500 0.500
Ga 0.500 0.000 0.500
Ni 0.500 0.500 0.500

---

No. 2
VASP calculation (PBE-GGA) on a relaxed structure of TmGa6Ni4.

Calculated values
uncorrected energy: -4.604 eV per atom
density: 8.35 g/cm³
V: 14.86 Å³/atom
space group: P-6m2, No. 187
ΔH_f (0 K): -0.44 eV per atom

Cell: 6.945 6.945 3.915 Å, 90.00 90.00 120.00°
Atoms (fractional coordinates):
Tm 0.000 0.000 0.000
Ga 0.196 0.392 0.500
Ga 0.196 0.804 0.500
Ga 0.534 0.069 0.000
Ga 0.534 0.466 0.000
Ga 0.608 0.804 0.500
Ga 0.931 0.466 0.000
Ni 0.333 0.667 0.000
Ni 0.416 0.208 0.500
Ni 0.792 0.208 0.500
Ni 0.792 0.584 0.500

---

No. 3
VASP calculation (PBE-GGA) on a relaxed structure of TmGa2Ni3.

Calculated values
uncorrected energy: -5.183 eV per atom
density: 9.10 g/cm³
V: 14.73 Å³/atom
space group: P6_3/mmc, No. 194
ΔH_f (0 K): -0.54 eV per atom

Cell: 4.126 4.126 11.994 Å, 90.00 90.00 120.00°
Atoms (fractional coordinates):
Tm 0.000 0.000 0.250
Tm 0.000 0.000 0.750
Ga 0.333 0.667 0.083
Ga 0.333 0.667 0.417
Ga 0.667 0.333 0.583
Ga 0.667 0.333 0.917
Ni 0.000 0.000 0.000
Ni 0.000 0.000 0.500
Ni 0.333 0.667 0.623
Ni 0.333 0.667 0.877
Ni 0.667 0.333 0.123
Ni 0.667 0.333 0.377

---

No. 4
VASP calculation (PBE-GGA) on a relaxed structure of Tm2Ga12Ni.

Calculated values
uncorrected energy: -3.725 eV per atom
density: 7.41 g/cm³
V: 18.43 Å³/atom
space group: P4/nbm, No. 125
ΔH_f (0 K): -0.32 eV per atom

Cell: 6.024 6.024 15.234 Å, 90.00 90.00 90.00°
Atoms (fractional coordinates):
Tm 0.250 0.750 0.240
Tm 0.250 0.750 0.760
Tm 0.750 0.250 0.240
Tm 0.750 0.250 0.760
Ga 0.000 0.000 0.085
Ga 0.000 0.000 0.915
Ga 0.000 0.500 0.085
Ga 0.000 0.500 0.915
Ga 0.085 0.585 0.430
Ga 0.085 0.915 0.570
Ga 0.250 0.250 0.186
Ga 0.250 0.250 0.345
Ga 0.250 0.250 0.655
Ga 0.250 0.250 0.814
Ga 0.415 0.585 0.570
Ga 0.415 0.915 0.430
Ga 0.500 0.000 0.085
Ga 0.500 0.000 0.915
Ga 0.500 0.500 0.085
Ga 0.500 0.500 0.915
Ga 0.585 0.085 0.570
Ga 0.585 0.415 0.430
Ga 0.750 0.750 0.186
Ga 0.750 0.750 0.345
Ga 0.750 0.750 0.655
Ga 0.750 0.750 0.814
Ga 0.915 0.085 0.430
Ga 0.915 0.415 0.570
Ni 0.250 0.750 0.000
Ni 0.750 0.250 0.000

---

No. 5
VASP calculation (PBE-GGA) on a relaxed structure of TmGa4Ni4.

Calculated values
uncorrected energy: -4.697 eV per atom
density: 8.40 g/cm³
V: 15.00 Å³/atom
space group: P4_2/n, No. 86
ΔH_f (0 K): -0.29 eV per atom

Cell: 7.846 7.846 4.386 Å, 90.00 90.00 90.00°
Atoms (fractional coordinates):
Tm 0.250 0.250 0.250
Tm 0.750 0.750 0.750
Ga 0.111 0.844 0.747
Ga 0.156 0.611 0.247
Ga 0.344 0.889 0.247
Ga 0.389 0.656 0.747
Ga 0.611 0.344 0.253
Ga 0.656 0.111 0.753
Ga 0.844 0.389 0.753
Ga 0.889 0.156 0.253
Ni 0.029 0.136 0.753
Ni 0.136 0.471 0.747
Ni 0.364 0.029 0.747
Ni 0.471 0.364 0.753
Ni 0.529 0.636 0.247
Ni 0.636 0.971 0.253
Ni 0.864 0.529 0.253
Ni 0.971 0.864 0.247

---

No. 6
VASP calculation (PBE-GGA) on a relaxed structure of TmGa2Ni3.

Calculated values
uncorrected energy: -5.195 eV per atom
density: 9.04 g/cm³
V: 14.83 Å³/atom
space group: P6/mmm, No. 191
ΔH_f (0 K): -0.55 eV per atom

Cell: 5.180 5.180 3.830 Å, 90.00 90.00 120.00°
Atoms (fractional coordinates):
Tm 0.000 0.000 0.000
Ga 0.333 0.667 0.000
Ga 0.667 0.333 0.000
Ni 0.000 0.500 0.500
Ni 0.500 0.000 0.500
Ni 0.500 0.500 0.500